No. 1
The following is a DFT calculation (PBE) of an optimized crystal structure of Ac4AgI5.

abc: 4.4681 9.8035 10.5786
angles: 101.97 102.19 90.00
Element x y z (fractional)
I: 0.1722 0.8142 0.3444
I: 0.5000 0.5000 0.0000
I: 0.1692 0.3406 0.3384
I: 0.8278 0.1858 0.6556
I: 0.8308 0.6594 0.6616
Ac: 0.9986 0.7792 0.9972
Ac: 0.6572 0.0747 0.3144
Ac: 0.0014 0.2208 0.0028
Ac: 0.3428 0.9253 0.6856
Ag: 0.5000 0.0000 0.0000

Results
Calculated total energy   -3.760 eV/atom
Formation energy from raw total energies   -1057 meV/atom

No. 2
The following is a DFT calculation (PBE) of an optimized crystal structure of Ac2AgI.

abc: 3.8722 3.8722 9.0848
angles: 90.00 90.00 90.00
Element x y z (fractional)
I: 0.5000 0.5000 0.5000
Ac: 0.0000 0.0000 0.2237
Ac: 0.0000 0.0000 0.7763
Ag: 0.5000 0.5000 0.0000

Results
Calculated total energy   -3.680 eV/atom
Formation energy from raw total energies   -526 meV/atom
Energy above the most stable polymorph in this dataset   46 meV/atom

No. 3
The following is a DFT calculation (PBE) of an optimized crystal structure of AcAgI2.

abc: 4.1983 4.1983 10.7006
angles: 78.69 78.69 60.00
Element x y z (fractional)
I: 0.9091 0.9091 0.2726
I: 0.0909 0.0909 0.7274
Ag: 0.0000 0.0000 0.0000
Ac: 0.5000 0.5000 0.5000

Results
Calculated total energy   -3.107 eV/atom
Formation energy from raw total energies   -592 meV/atom